AlIr2Ru: PBEsol geometry, SCAN.

Lattice parameters (Å, degrees): 5.1230 5.1230 5.1230 147.74 129.37 61.32
Sites, in units of the cell vectors:
Al (0.0000, 0.0000, 0.0000)
Ir (0.2282, 0.7282, 0.5000)
Ir (0.7718, 0.2718, 0.5000)
Ru (0.5000, 0.5000, 0.0000)

Calculated values
- uncorrected energy (eV per atom) = -46.525
- space group = Immm
- DOS(E_F) (states/eV per cell) = 2.261
- energy relative to the elements (eV per atom) = -0.3313
- ρ (g cm⁻³) = 15.48